# 1
Entry from the Alexandria database: Rb2NaNb6P3O24 at its PBEsol-relaxed geometry (SCAN).

Structure (POSCAR):
```
Rb2NaNb6P3O24
1.0
5.2272 -6.7084 0.0000
5.2272 6.7084 0.0000
-3.4884 0.0000 7.7670
Rb Na Nb P O
2 1 6 3 24
Direct
0.2501 0.2501 0.2117
0.7499 0.7499 0.7883
0.6548 0.3452 0.0000
0.1185 0.6945 0.1507
0.1867 0.2007 0.6572
0.3055 0.8815 0.8493
0.5067 0.0066 0.5394
0.7993 0.8133 0.3428
0.9934 0.4933 0.4606
0.4237 0.5763 0.0000
0.6480 0.1189 0.2289
0.8811 0.3520 0.7711
0.0259 0.2732 0.7899
0.0785 0.5299 0.2850
0.1236 0.3462 0.5225
0.1518 0.6958 0.6499
0.1775 0.8225 0.0000
0.2205 0.0585 0.8146
0.2811 0.5597 0.0814
0.3042 0.8482 0.3501
0.3587 0.1596 0.5687
0.3897 0.4026 0.8617
0.4403 0.7189 0.9186
0.4701 0.9215 0.7150
0.5074 0.0883 0.0577
0.5672 0.1363 0.3720
0.5974 0.6103 0.1383
0.6538 0.8764 0.4775
0.7089 0.2117 0.7363
0.7268 0.9741 0.2101
0.7883 0.2911 0.2637
0.8404 0.6413 0.4313
0.8637 0.4328 0.6280
0.9117 0.4926 0.9423
0.9415 0.7795 0.1854
0.9979 0.0021 0.5000
```

Summary:
Density of states at the Fermi level = 0.000 states/eV per cell
Formation energy from raw total energies = -259.5 kJ per mole of atoms



# 2
Entry from the Alexandria database: MgTiTe2 at its PBEsol-relaxed geometry (SCAN).

Structure (POSCAR):
```
MgTiTe2
1.0
2.0212 1.1670 8.6324
-2.0212 1.1670 8.6324
0.0000 -2.3339 8.6324
Mg Ti Te
1 1 2
Direct
0.0000 0.0000 0.0000
0.5000 0.5000 0.5000
0.3990 0.3990 0.3990
0.6010 0.6010 0.6010
```

Summary:
Density of states at the Fermi level = 2.025 states/eV per cell
Formation energy from raw total energies = -10.3 kJ per mole of atoms



# 3
Entry from the Alexandria database: InAg3 at its PBEsol-relaxed geometry (SCAN).

Structure (POSCAR):
```
InAg3
1.0
3.0001 0.0000 0.0000
-1.5001 2.5982 0.0000
0.0000 0.0000 9.2406
In Ag
1 3
Direct
0.0000 0.0000 0.0000
0.0000 0.0000 0.5000
0.6667 0.3333 0.2561
0.6667 0.3333 0.7439
```

Summary:
Density of states at the Fermi level = 1.226 states/eV per cell
Energy of formation = 0.051 eV per atom



# 4
Entry from the Alexandria database: NbInH2 at its PBEsol-relaxed geometry (SCAN).

Structure (POSCAR):
```
NbInH2
1.0
-2.0261 2.0261 5.8746
2.0261 -2.0261 5.8746
2.0261 2.0261 -5.8746
Nb In H
2 2 4
Direct
0.0000 0.0000 0.0000
0.7500 0.2500 0.5000
0.2500 0.7500 0.5000
0.5000 0.5000 0.0000
0.3750 0.2412 0.3662
0.7588 0.1250 0.1338
0.8750 0.0088 0.6338
0.9912 0.6250 0.8662
```

Summary:
Density of states at the Fermi level = 0.410 states/eV per cell



Computed electronic total energy, in the same sequence as the records: -14.5011, -23.9835, -31.8210, -18.2256 eV/atom.